# AgMo3P3O16 (PBE+U, optimized geometry)
# DOS at the Fermi energy	0.000	states/eV per atom
# SG	P-1
# uncorrected energy	-6.99	eV/atom
data_AgMo3P3O16
_cell_length_a 6.5148
_cell_length_b 7.8889
_cell_length_c 13.0264
_cell_angle_alpha 80.10
_cell_angle_beta 79.58
_cell_angle_gamma 82.52
_symmetry_space_group_name_H-M 'P 1'
_symmetry_Int_Tables_number 1
loop_
_symmetry_equiv_pos_as_xyz
'x,y,z'
loop_
_atom_site_label
_atom_site_type_symbol
_atom_site_fract_x
_atom_site_fract_y
_atom_site_fract_z
Ag1 Ag 0.4084 0.6325 0.6725
Ag2 Ag 0.5916 0.3675 0.3275
Mo1 Mo 0.8027 0.7849 0.4580
Mo2 Mo 0.1973 0.2151 0.5420
Mo3 Mo 0.9371 0.7900 0.8580
Mo4 Mo 0.0629 0.2100 0.1420
Mo5 Mo 0.5961 0.2348 0.8356
Mo6 Mo 0.4039 0.7652 0.1644
P1 P 0.9358 0.5110 0.6848
P2 P 0.0642 0.4890 0.3152
P3 P 0.6929 0.1446 0.5773
P4 P 0.3071 0.8554 0.4227
P5 P 0.4223 0.8351 0.8999
P6 P 0.5777 0.1649 0.1001
O1 O 0.4217 0.0309 0.8965
O2 O 0.5783 0.9691 0.1035
O3 O 0.6311 0.1518 0.6957
O4 O 0.3689 0.8482 0.3043
O5 O 0.8366 0.3830 0.7777
O6 O 0.1634 0.6170 0.2223
O7 O 0.6288 0.2575 0.9860
O8 O 0.3712 0.7425 0.0140
O9 O 0.3967 0.3960 0.8179
O10 O 0.6033 0.6040 0.1821
O11 O 0.6379 0.7575 0.8434
O12 O 0.3621 0.2425 0.1566
O13 O 0.8635 0.0124 0.8600
O14 O 0.1365 0.9876 0.1400
O15 O 0.1896 0.0548 0.6480
O16 O 0.8104 0.9452 0.3520
O17 O 0.8896 0.2371 0.5275
O18 O 0.1104 0.7629 0.4725
O19 O 0.5151 0.2452 0.5185
O20 O 0.4849 0.7548 0.4815
O21 O 0.2738 0.0484 0.4331
O22 O 0.7262 0.9516 0.5669
O23 O 0.1381 0.4233 0.6240
O24 O 0.8619 0.5767 0.3760
O25 O 0.2184 0.4050 0.3905
O26 O 0.7816 0.5950 0.6095
O27 O 0.0857 0.3069 0.0140
O28 O 0.9143 0.6931 0.9860
O29 O 0.9857 0.3452 0.2650
O30 O 0.0143 0.6548 0.7350
O31 O 0.7470 0.2017 0.1626
O32 O 0.2530 0.7983 0.8374